i:
VASP calculation (PBE) on a geometry-optimized GaNiBiPS structure.

a = 3.6998 Å, b = 3.7045 Å, c = 8.7569 Å
α = 101.92°, β = 90.02°, γ = 119.95°
Fractional positions:
Ga 0.9952 0.5262 0.3813
Ni 0.4933 0.5209 0.8768
Bi 0.7610 0.0573 0.6734
P 0.1866 0.9076 0.9582
S 0.2806 0.0972 0.2328

Summary:
Total magnetic moment ... 0.00 μB per formula unit

ii:
VASP calculation (PBE) on a geometry-optimized GaNiBiPS structure.

a = 6.7989 Å, b = 3.4117 Å, c = 10.4508 Å
α = 90.00°, β = 118.73°, γ = 90.00°
Fractional positions:
Ga 0.9857 0.0000 0.1242
Ga 0.9857 0.5000 0.6242
Ni 0.1875 0.0000 0.9231
Ni 0.1875 0.5000 0.4231
Bi 0.6245 0.0000 0.1896
Bi 0.6245 0.5000 0.6896
P 0.0012 0.0000 0.4563
P 0.0012 0.5000 0.9563
S 0.3237 0.0000 0.3489
S 0.3237 0.5000 0.8489

Summary:
Total magnetic moment ... 0.00 μB per formula unit

iii:
VASP calculation (PBE) on a geometry-optimized GaNiBiPS structure.

a = 5.7811 Å, b = 3.7916 Å, c = 10.1404 Å
α = 90.00°, β = 97.65°, γ = 90.00°
Fractional positions:
Ga 0.3419 0.0000 0.8662
Ga 0.3419 0.5000 0.3662
Ni 0.7202 0.0000 0.0170
Ni 0.7202 0.5000 0.5170
Bi 0.3758 0.0000 0.5884
Bi 0.3758 0.5000 0.0884
P 0.8481 0.0000 0.6259
P 0.8481 0.5000 0.1259
S 0.9207 0.0000 0.8413
S 0.9207 0.5000 0.3413

Summary:
Total magnetic moment ... 0.00 μB per formula unit

Relative energies, in eV/atom, with the most stable structure set to zero: i 0.000; ii 0.042; iii 0.141.

i:
VASP calculation (PBE) on a geometry-optimized GaBiPO2 structure.

a = 4.1646 Å, b = 4.1646 Å, c = 5.5271 Å
α = 90.00°, β = 90.00°, γ = 90.00°
Fractional positions:
O 0.0000 0.5000 0.0000
O 0.5000 0.0000 0.0000
P 0.0000 0.0000 0.5000
Bi 0.0000 0.0000 0.0000
Ga 0.5000 0.5000 0.5000

Summary:
Total magnetic moment ... 0.00 μB per formula unit

ii:
VASP calculation (PBE) on a geometry-optimized GaBiPO2 structure.

a = 3.9750 Å, b = 3.9750 Å, c = 4.8067 Å
α = 90.00°, β = 90.00°, γ = 90.00°
Fractional positions:
O 0.0000 0.5000 0.0000
O 0.5000 0.0000 0.0000
P 0.0000 0.0000 0.5000
Bi 0.5000 0.5000 0.5000
Ga 0.0000 0.0000 0.0000

Summary:
Total magnetic moment ... 0.11 μB per formula unit

Relative energies, in eV/atom, with the most stable structure set to zero: i 0.331; ii 0.000.

i:
VASP calculation (PBE) on a geometry-optimized GaBiP2O structure.

a = 5.3338 Å, b = 5.3338 Å, c = 4.1834 Å
α = 90.00°, β = 90.00°, γ = 90.00°
Fractional positions:
O 0.0000 0.0000 0.5000
P 0.0000 0.5000 0.0000
P 0.5000 0.0000 0.0000
Bi 0.0000 0.0000 0.0000
Ga 0.5000 0.5000 0.5000

Summary:
Total magnetic moment ... 0.00 μB per formula unit

ii:
VASP calculation (PBE) on a geometry-optimized GaBiP2O structure.

a = 4.9759 Å, b = 4.9759 Å, c = 3.7187 Å
α = 90.00°, β = 90.00°, γ = 90.00°
Fractional positions:
O 0.0000 0.0000 0.5000
P 0.0000 0.5000 0.0000
P 0.5000 0.0000 0.0000
Bi 0.5000 0.5000 0.5000
Ga 0.0000 0.0000 0.0000

Summary:
Total magnetic moment ... 0.00 μB per formula unit

Relative energies, in eV/atom, with the most stable structure set to zero: i 0.558; ii 0.000.

i:
VASP calculation (PBE) on a geometry-optimized GaBiOs2 structure.

a = 4.5646 Å, b = 4.5646 Å, c = 4.5646 Å
α = 60.00°, β = 60.00°, γ = 60.00°
Fractional positions:
Os 0.2500 0.2500 0.2500
Os 0.7500 0.7500 0.7500
Bi 0.5000 0.5000 0.5000
Ga 0.0000 0.0000 0.0000

Summary:
Total magnetic moment ... 0.00 μB per formula unit

ii:
VASP calculation (PBE) on a geometry-optimized GaBiOs2 structure.

a = 4.3677 Å, b = 4.3677 Å, c = 9.3723 Å
α = 76.53°, β = 76.53°, γ = 90.00°
Fractional positions:
Os 0.5066 0.1250 0.2500
Os 0.2434 0.6250 0.2500
Os 0.3750 0.4934 0.7500
Os 0.8750 0.7566 0.7500
Bi 0.0000 0.0000 0.0000
Bi 0.7500 0.2500 0.5000
Ga 0.5000 0.5000 0.0000
Ga 0.2500 0.7500 0.5000

Summary:
Total magnetic moment ... 0.00 μB per formula unit

Relative energies, in eV/atom, with the most stable structure set to zero: i 0.000; ii 0.161.

i:
VASP calculation (PBE) on a geometry-optimized GaBiPS2 structure.

a = 4.7469 Å, b = 4.7469 Å, c = 4.7124 Å
α = 90.00°, β = 90.00°, γ = 90.00°
Fractional positions:
P 0.0000 0.0000 0.5000
S 0.0000 0.5000 0.0000
S 0.5000 0.0000 0.0000
Bi 0.5000 0.5000 0.5000
Ga 0.0000 0.0000 0.0000

Summary:
Total magnetic moment ... 0.00 μB per formula unit

ii:
VASP calculation (PBE) on a geometry-optimized GaBiPS2 structure.

a = 5.3179 Å, b = 5.3179 Å, c = 5.3834 Å
α = 90.00°, β = 90.00°, γ = 90.00°
Fractional positions:
P 0.0000 0.0000 0.5000
S 0.0000 0.5000 0.0000
S 0.5000 0.0000 0.0000
Bi 0.0000 0.0000 0.0000
Ga 0.5000 0.5000 0.5000

Summary:
Total magnetic moment ... 2.15 μB per formula unit

Relative energies, in eV/atom, with the most stable structure set to zero: i 0.000; ii 0.383.

i:
VASP calculation (PBE) on a geometry-optimized Pa2GaBi structure.

a = 4.4275 Å, b = 4.7552 Å, c = 4.7552 Å
α = 90.00°, β = 90.00°, γ = 90.00°
Fractional positions:
Pa 0.0000 0.0000 0.5000
Pa 0.0000 0.5000 0.0000
Bi 0.5000 0.5000 0.5000
Ga 0.5000 0.0000 0.0000

Summary:
Total magnetic moment ... 1.91 μB per formula unit

ii:
VASP calculation (PBE) on a geometry-optimized Pa2GaBi structure.

a = 3.4200 Å, b = 3.4200 Å, c = 8.5156 Å
α = 90.00°, β = 90.00°, γ = 90.00°
Fractional positions:
Pa 0.0000 0.0000 0.7767
Pa 0.0000 0.0000 0.2233
Bi 0.5000 0.5000 0.5000
Ga 0.5000 0.5000 0.0000

Summary:
Total magnetic moment ... 1.28 μB per formula unit

iii:
VASP calculation (PBE) on a geometry-optimized Pa2GaBi structure.

a = 4.3005 Å, b = 4.3005 Å, c = 7.4921 Å
α = 73.32°, β = 73.32°, γ = 60.00°
Fractional positions:
Pa 0.2615 0.2615 0.2156
Pa 0.7385 0.7385 0.7844
Bi 0.5000 0.5000 0.5000
Ga 0.0000 0.0000 0.0000

Summary:
Total magnetic moment ... 0.00 μB per formula unit

Relative energies, in eV/atom, with the most stable structure set to zero: i 0.043; ii 0.000; iii 0.052.

i:
VASP calculation (PBE) on a geometry-optimized Ga2Bi2Pb structure.

a = 4.4624 Å, b = 4.4624 Å, c = 8.0452 Å
α = 73.90°, β = 73.90°, γ = 90.00°
Fractional positions:
Pb 0.0000 0.0000 0.0000
Bi 0.3858 0.3858 0.2285
Bi 0.6142 0.6142 0.7715
Ga 0.7500 0.2500 0.5000
Ga 0.2500 0.7500 0.5000

Summary:
Total magnetic moment ... 0.00 μB per formula unit

ii:
VASP calculation (PBE) on a geometry-optimized Ga2Bi2Pb structure.

a = 9.0078 Å, b = 9.0078 Å, c = 3.4811 Å
α = 90.00°, β = 90.00°, γ = 90.00°
Fractional positions:
Pb 0.0000 0.0000 0.0000
Pb 0.5000 0.5000 0.0000
Bi 0.3443 0.8443 0.0000
Bi 0.8443 0.6557 0.0000
Bi 0.6557 0.1557 0.0000
Bi 0.1557 0.3443 0.0000
Ga 0.1411 0.6411 0.5000
Ga 0.6411 0.8589 0.5000
Ga 0.8589 0.3589 0.5000
Ga 0.3589 0.1411 0.5000

Summary:
Total magnetic moment ... 0.00 μB per formula unit

iii:
VASP calculation (PBE) on a geometry-optimized Ga2Bi2Pb structure.

a = 5.5917 Å, b = 5.5917 Å, c = 6.0405 Å
α = 62.43°, β = 62.43°, γ = 90.00°
Fractional positions:
Pb 0.0000 0.0000 0.0000
Bi 0.7500 0.2500 0.5000
Bi 0.2500 0.7500 0.5000
Ga 0.3620 0.3620 0.2760
Ga 0.6380 0.6380 0.7240

Summary:
Total magnetic moment ... 0.00 μB per formula unit

Relative energies, in eV/atom, with the most stable structure set to zero: i 0.006; ii 0.000; iii 0.024.

i:
VASP calculation (PBE) on a geometry-optimized GaBi2Pb2 structure.

a = 8.2885 Å, b = 8.2885 Å, c = 4.7052 Å
α = 90.00°, β = 90.00°, γ = 90.00°
Fractional positions:
Pb 0.1626 0.6626 0.5000
Pb 0.6626 0.8374 0.5000
Pb 0.8374 0.3374 0.5000
Pb 0.3374 0.1626 0.5000
Bi 0.3609 0.8609 0.0000
Bi 0.8609 0.6391 0.0000
Bi 0.6391 0.1391 0.0000
Bi 0.1391 0.3609 0.0000
Ga 0.0000 0.0000 0.0000
Ga 0.5000 0.5000 0.0000

Summary:
Total magnetic moment ... 0.00 μB per formula unit

ii:
VASP calculation (PBE) on a geometry-optimized GaBi2Pb2 structure.

a = 4.8271 Å, b = 4.8271 Å, c = 8.3223 Å
α = 73.14°, β = 73.14°, γ = 90.00°
Fractional positions:
Pb 0.7500 0.2500 0.5000
Pb 0.2500 0.7500 0.5000
Bi 0.3978 0.3978 0.2044
Bi 0.6022 0.6022 0.7956
Ga 0.0000 0.0000 0.0000

Summary:
Total magnetic moment ... 0.00 μB per formula unit

iii:
VASP calculation (PBE) on a geometry-optimized GaBi2Pb2 structure.

a = 7.7095 Å, b = 8.6189 Å, c = 9.7908 Å
α = 90.00°, β = 91.84°, γ = 90.00°
Fractional positions:
Ga 0.3665 0.4176 0.3819
Ga 0.6335 0.5824 0.6181
Ga 0.8665 0.0824 0.3819
Ga 0.1335 0.9176 0.6181
Bi 0.7710 0.9312 0.1118
Bi 0.2710 0.5688 0.1118
Bi 0.7290 0.4312 0.8882
Bi 0.2290 0.0688 0.8882
Bi 0.7553 0.4149 0.3750
Bi 0.2553 0.0851 0.3750
Bi 0.7447 0.9149 0.6250
Bi 0.2447 0.5851 0.6250
Pb 0.5086 0.2344 0.1077
Pb 0.0086 0.2656 0.1077
Pb 0.9914 0.7344 0.8923
Pb 0.4914 0.7656 0.8923
Pb 0.0181 0.7149 0.3322
Pb 0.5181 0.7851 0.3322
Pb 0.4819 0.2149 0.6678
Pb 0.9819 0.2851 0.6678

Summary:
Total magnetic moment ... 0.00 μB per formula unit

Relative energies, in eV/atom, with the most stable structure set to zero: i 0.095; ii 0.155; iii 0.000.